No. 1
{
  "formula": "Na3LiFe",
  "functional": "PBE-GGA",
  "state": "relaxed",
  "de_polymorph_ev_per_atom": 0.121,
  "rho_g_cm3": 1.4,
  "ef_mev_per_atom": 918,
  "cell": [[-3.584, 3.981, 0.184], [-3.697, -3.228, -2.155], [-1.489, -1.568, 4.904]],
  "species": ["Na", "Li", "Na", "Fe", "Na"],
  "fractional_positions": [[0.500, 0.000, 0.000], [0.000, 0.000, 0.000], [0.000, 0.000, 0.500], [0.500, 0.500, 0.500], [0.000, 0.500, 0.000]]
}


No. 2
{
  "formula": "ZnMoBr2",
  "functional": "PBE-GGA",
  "state": "relaxed",
  "de_polymorph_ev_per_atom": 0.047,
  "raw_formation_energy_mev_per_atom": 25,
  "rho_g_cm3": 4.9,
  "cell": [[-1.985, 6.531, 4.187], [-2.897, 1.999, 7.193], [5.014, -3.378, -5.251]],
  "species": ["Mo", "Br", "Br", "Zn"],
  "fractional_positions": [[0.750, 0.250, 0.500], [0.610, 0.610, 0.000], [0.890, 0.890, 0.000], [0.250, 0.750, 0.500]]
}


No. 3
{
  "formula": "KSrCa2Cu",
  "functional": "PBE-GGA",
  "state": "relaxed",
  "de_polymorph_ev_per_atom": 0.000,
  "rho_g_cm3": 2.1,
  "ef_mev_per_atom": 36,
  "cell": [[5.879, 0.000, 0.000], [0.000, 5.879, 0.000], [0.000, 0.000, 6.146]],
  "species": ["Cu", "K", "Ca", "Ca", "Sr"],
  "fractional_positions": [[0.000, 0.000, 0.000], [0.500, 0.500, 0.500], [0.500, 0.000, 0.000], [0.000, 0.500, 0.000], [0.000, 0.000, 0.500]]
}


No. 4
{
  "formula": "SbMoAs2Se",
  "functional": "PBE-GGA",
  "state": "relaxed",
  "de_polymorph_ev_per_atom": 0.000,
  "raw_formation_energy_mev_per_atom": 448,
  "rho_g_cm3": 6.2,
  "cell": [[-3.487, -3.495, -0.973], [3.501, -3.595, 0.366], [-0.894, -0.398, 4.634]],
  "species": ["As", "As", "Sb", "Se", "Mo"],
  "fractional_positions": [[0.000, 0.500, 0.000], [0.500, 0.000, 0.000], [0.500, 0.500, 0.500], [0.000, 0.000, 0.500], [0.000, 0.000, 0.000]]
}


No. 5
{
  "formula": "PrNb4Te8",
  "functional": "PBE-GGA",
  "state": "relaxed",
  "raw_formation_energy_mev_per_atom": -594,
  "rho_g_cm3": 6.6,
  "cell": [[-7.181, -2.247, 1.035], [3.925, -2.457, -6.020], [7.138, -3.774, 4.675]],
  "species": ["Nb", "Nb", "Nb", "Te", "Te", "Nb", "Te", "Te", "Te", "Te", "Te", "Te", "Pr"],
  "fractional_positions": [[0.491, 0.506, 0.998], [0.029, 0.970, 0.999], [0.024, 0.574, 0.001], [0.948, 0.774, 0.722], [0.493, 0.288, 0.781], [0.427, 0.977, 0.001], [0.983, 0.285, 0.792], [0.014, 0.735, 0.252], [0.962, 0.207, 0.169], [0.517, 0.729, 0.246], [0.507, 0.808, 0.792], [0.517, 0.238, 0.252], [0.087, 0.409, 0.496]]
}


No. 6
{
  "formula": "DyHo2Er",
  "functional": "PBE-GGA",
  "state": "relaxed",
  "de_polymorph_ev_per_atom": 0.144,
  "rho_g_cm3": 8.8,
  "ef_mev_per_atom": 145,
  "cell": [[5.614, 0.000, 0.000], [2.807, 4.862, 0.000], [2.807, 1.621, 4.584]],
  "species": ["Ho", "Er", "Ho", "Dy"],
  "fractional_positions": [[0.250, 0.250, 0.250], [0.500, 0.500, 0.500], [0.750, 0.750, 0.750], [0.000, 0.000, 0.000]]
}


No. 7
{
  "formula": "Fe2SiMo",
  "functional": "PBE-GGA",
  "state": "relaxed",
  "raw_formation_energy_mev_per_atom": -127,
  "rho_g_cm3": 7.9,
  "cell": [[4.611, -0.001, 0.000], [1.824, 4.235, 0.000], [-3.217, -2.117, 2.536]],
  "species": ["Mo", "Si", "Fe", "Fe"],
  "fractional_positions": [[0.500, 0.500, 0.000], [0.750, 0.250, 0.500], [0.000, 0.000, 0.000], [0.250, 0.750, 0.500]]
}


No. 8
{
  "formula": "DyZrIn",
  "functional": "PBE-GGA",
  "state": "relaxed",
  "de_polymorph_ev_per_atom": 0.215,
  "rho_g_cm3": 8.1,
  "ef_mev_per_atom": -4,
  "cell": [[4.753, 0.000, 0.000], [0.000, 3.243, 0.000], [0.000, 0.000, 9.825]],
  "species": ["Dy", "In", "Dy", "In", "Zr", "Zr"],
  "fractional_positions": [[0.500, 0.500, 0.158], [0.000, 0.000, 0.000], [0.500, 0.500, 0.842], [0.500, 0.000, 0.500], [0.000, 0.500, 0.637], [0.000, 0.500, 0.363]]
}


No. 9
{
  "formula": "Y6HoEr8",
  "functional": "PBE-GGA",
  "state": "relaxed",
  "de_polymorph_ev_per_atom": 0.117,
  "rho_g_cm3": 6.9,
  "ef_mev_per_atom": 241,
  "cell": [[-5.557, 3.268, -0.287], [1.935, 2.514, -8.827], [-4.742, -7.914, 1.691]],
  "species": ["Er", "Er", "Y", "Er", "Er", "Er", "Er", "Ho", "Er", "Y", "Y", "Y", "Er", "Y", "Y"],
  "fractional_positions": [[0.904, 0.333, 0.020], [0.096, 0.312, 0.333], [0.592, 0.900, 0.583], [0.152, 0.667, 0.333], [0.904, 0.980, 0.312], [0.904, 0.688, 0.667], [0.096, 0.667, 0.980], [0.500, 0.000, 0.000], [0.848, 0.333, 0.667], [0.408, 0.317, 0.900], [0.408, 0.100, 0.417], [0.592, 0.683, 0.100], [0.096, 0.020, 0.688], [0.408, 0.583, 0.683], [0.592, 0.417, 0.317]]
}


No. 10
{
  "formula": "Li2HgPt",
  "functional": "PBE-GGA",
  "state": "relaxed",
  "rho_g_cm3": 10.5,
  "ef_mev_per_atom": -386,
  "cell": [[-1.559, 1.975, -1.380], [0.859, -1.816, -3.569], [-4.494, -3.175, 0.534]],
  "species": ["Li", "Hg", "Li", "Pt"],
  "fractional_positions": [[0.500, 0.500, 0.274], [0.500, 0.500, 0.762], [0.000, 0.000, 0.996], [0.000, 0.000, 0.468]]
}


No. 11
{
  "formula": "LiCa2ReN4",
  "functional": "PBE-GGA",
  "state": "relaxed",
  "raw_formation_energy_mev_per_atom": -811,
  "rho_g_cm3": 4.3,
  "cell": [[5.338, 0.000, 0.000], [0.000, 6.271, 0.000], [0.000, 0.000, 7.599]],
  "species": ["Ca", "N", "Li", "N", "Ca", "Re", "Ca", "Ca", "Li", "N", "N", "N", "N", "N", "Re", "N"],
  "fractional_positions": [[0.969, 0.691, 0.755], [0.875, 0.899, 0.000], [0.998, 0.142, 0.500], [0.841, 0.853, 0.500], [0.469, 0.309, 0.745], [0.002, 0.170, 0.000], [0.469, 0.309, 0.255], [0.969, 0.691, 0.245], [0.498, 0.858, 0.000], [0.375, 0.101, 0.500], [0.423, 0.685, 0.705], [0.923, 0.315, 0.205], [0.341, 0.147, 0.000], [0.923, 0.315, 0.795], [0.502, 0.830, 0.500], [0.423, 0.685, 0.295]]
}


No. 12
{
  "formula": "CoGeTe2",
  "functional": "PBE-GGA",
  "state": "relaxed",
  "raw_formation_energy_mev_per_atom": 136,
  "rho_g_cm3": 6.4,
  "cell": [[-5.111, 0.517, 7.350], [-1.851, 1.558, 8.634], [-4.015, 3.982, 6.959]],
  "species": ["Ge", "Te", "Co", "Te"],
  "fractional_positions": [[0.000, 0.000, 0.000], [0.886, 0.886, 0.886], [0.500, 0.500, 0.500], [0.114, 0.114, 0.114]]
}


No. 13
{
  "formula": "YZrAu2",
  "functional": "PBE-GGA",
  "state": "relaxed",
  "de_polymorph_ev_per_atom": 0.034,
  "rho_g_cm3": 11.0,
  "ef_mev_per_atom": -613,
  "cell": [[-0.736, -1.564, -4.683], [-4.606, -1.481, 1.230], [-1.238, 3.148, -0.855]],
  "species": ["Au", "Zr", "Au", "Y"],
  "fractional_positions": [[0.000, 0.000, 0.000], [0.000, 0.500, 0.500], [0.500, 0.500, 0.000], [0.500, 0.000, 0.500]]
}


No. 14
{
  "formula": "RbIn2Ni",
  "functional": "PBE-GGA",
  "state": "relaxed",
  "rho_g_cm3": 6.0,
  "ef_mev_per_atom": 494,
  "cell": [[-4.217, -1.388, 2.839], [-4.797, 1.647, -1.429], [-3.486, -3.429, -1.964]],
  "species": ["Ni", "In", "Rb", "In"],
  "fractional_positions": [[0.000, 0.000, 0.000], [0.250, 0.250, 0.250], [0.500, 0.500, 0.500], [0.750, 0.750, 0.750]]
}


No. 15
{
  "formula": "NaNb2TeS",
  "functional": "PBE-GGA",
  "state": "relaxed",
  "raw_formation_energy_mev_per_atom": 1230,
  "rho_g_cm3": 4.2,
  "cell": [[5.129, 0.000, 0.000], [0.000, 5.568, 0.000], [0.000, 0.000, 5.129]],
  "species": ["Na", "S", "Nb", "Nb", "Te"],
  "fractional_positions": [[0.500, 0.500, 0.500], [0.000, 0.500, 0.000], [0.500, 0.000, 0.000], [0.000, 0.000, 0.500], [0.000, 0.000, 0.000]]
}


No. 16
{
  "formula": "HoEr2Ru",
  "functional": "PBE-GGA",
  "state": "relaxed",
  "de_polymorph_ev_per_atom": 0.114,
  "rho_g_cm3": 9.8,
  "ef_mev_per_atom": -239,
  "cell": [[-2.508, -2.031, -1.086], [2.274, -2.438, -0.693], [-0.938, -3.188, 8.133]],
  "species": ["Ru", "Er", "Er", "Ho"],
  "fractional_positions": [[0.500, 0.500, 0.000], [0.000, 0.000, 0.814], [0.000, 0.000, 0.186], [0.500, 0.500, 0.500]]
}


No. 17
{
  "formula": "Zr6NbZn",
  "functional": "PBE-GGA",
  "state": "relaxed",
  "rho_g_cm3": 6.8,
  "ef_mev_per_atom": 23,
  "cell": [[-0.223, -4.784, 2.245], [2.833, -0.694, -4.412], [6.630, -1.475, 2.137]],
  "species": ["Zr", "Zn", "Zr", "Zr", "Zr", "Nb", "Zr", "Zr"],
  "fractional_positions": [[0.251, 0.251, 0.498], [0.000, 0.000, 0.000], [0.749, 0.749, 0.502], [0.117, 0.617, 0.766], [0.617, 0.117, 0.766], [0.500, 0.500, 0.000], [0.383, 0.883, 0.234], [0.883, 0.383, 0.234]]
}


No. 18
{
  "formula": "Rb2Tl2Pd",
  "functional": "PBE-GGA",
  "state": "relaxed",
  "de_polymorph_ev_per_atom": 0.000,
  "rho_g_cm3": 6.0,
  "ef_mev_per_atom": -100,
  "cell": [[-4.362, 1.852, -1.861], [-5.514, -4.196, 1.787], [-3.454, 7.153, 8.249]],
  "species": ["Rb", "Tl", "Rb", "Rb", "Tl", "Tl", "Pd", "Pd", "Tl", "Rb"],
  "fractional_positions": [[0.095, 0.695, 0.115], [0.865, 0.831, 0.438], [0.351, 0.639, 0.659], [0.905, 0.305, 0.885], [0.388, 0.095, 0.129], [0.612, 0.905, 0.871], [0.634, 0.079, 0.652], [0.366, 0.921, 0.348], [0.135, 0.169, 0.562], [0.649, 0.361, 0.341]]
}


No. 19
{
  "formula": "MgTi2Al",
  "functional": "PBE-GGA",
  "state": "relaxed",
  "rho_g_cm3": 3.3,
  "ef_mev_per_atom": 159,
  "cell": [[-0.445, 1.268, -2.513], [-2.406, 1.459, -0.453], [3.630, 9.566, 2.567]],
  "species": ["Ti", "Ti", "Mg", "Al"],
  "fractional_positions": [[0.092, 0.092, 0.725], [0.908, 0.908, 0.275], [0.000, 0.000, 0.000], [0.500, 0.500, 0.500]]
}


No. 20
{
  "formula": "RhO2F6",
  "functional": "PBE-GGA",
  "state": "relaxed",
  "raw_formation_energy_mev_per_atom": -996,
  "rho_g_cm3": 2.8,
  "cell": [[-3.957, 2.484, 2.422], [2.695, -1.824, 4.253], [3.545, 4.012, -0.721]],
  "species": ["F", "F", "F", "F", "O", "Rh", "F", "O", "F"],
  "fractional_positions": [[0.937, 0.166, 0.287], [0.811, 0.691, 0.078], [0.314, 0.927, 0.197], [0.063, 0.834, 0.713], [0.420, 0.549, 0.538], [0.000, 0.000, 0.000], [0.686, 0.073, 0.803], [0.580, 0.451, 0.462], [0.189, 0.309, 0.922]]
}


No. 21
{
  "formula": "ReAs2Rh",
  "functional": "PBE-GGA",
  "state": "relaxed",
  "de_polymorph_ev_per_atom": 0.000,
  "rho_g_cm3": 10.8,
  "ef_mev_per_atom": -60,
  "cell": [[4.760, 0.000, 0.000], [0.000, 3.158, 0.055], [0.000, 1.312, 4.494]],
  "species": ["As", "As", "Rh", "Re"],
  "fractional_positions": [[0.500, 0.512, 0.301], [0.000, 0.734, 0.952], [0.500, 0.835, 0.714], [0.000, 0.419, 0.534]]
}


No. 22
{
  "formula": "VReN2",
  "functional": "PBE-GGA",
  "state": "relaxed",
  "de_polymorph_ev_per_atom": 0.058,
  "raw_formation_energy_mev_per_atom": -133,
  "rho_g_cm3": 10.2,
  "cell": [[-3.629, 3.247, 4.270], [-1.043, 4.274, 4.753], [-2.602, 5.311, 2.640]],
  "species": ["V", "N", "Re", "N"],
  "fractional_positions": [[0.500, 0.500, 0.500], [0.895, 0.895, 0.895], [0.000, 0.000, 0.000], [0.105, 0.105, 0.105]]
}


No. 23
{
  "formula": "Ca2Zn4Si3Ge",
  "functional": "PBE-GGA",
  "state": "relaxed",
  "raw_formation_energy_mev_per_atom": -273,
  "rho_g_cm3": 4.4,
  "cell": [[4.217, 0.000, 0.000], [0.000, 4.217, 0.000], [0.000, 0.000, 10.547]],
  "species": ["Zn", "Ca", "Zn", "Zn", "Ca", "Ge", "Si", "Si", "Zn", "Si"],
  "fractional_positions": [[0.500, 0.000, 0.638], [0.000, 0.500, 0.752], [0.000, 0.500, 0.362], [0.500, 0.500, 0.000], [0.500, 0.000, 0.248], [0.500, 0.500, 0.500], [0.000, 0.000, 0.500], [0.500, 0.000, 0.865], [0.000, 0.000, 0.000], [0.000, 0.500, 0.135]]
}


No. 24
{
  "formula": "RhIBrO2",
  "functional": "PBE-GGA",
  "state": "relaxed",
  "de_polymorph_ev_per_atom": 0.000,
  "raw_formation_energy_mev_per_atom": 103,
  "rho_g_cm3": 4.8,
  "cell": [[-2.822, -2.629, 0.728], [2.728, -2.736, 0.692], [0.087, 1.960, 7.409]],
  "species": ["O", "Br", "Rh", "O", "I"],
  "fractional_positions": [[0.500, 0.000, 0.000], [0.500, 0.500, 0.500], [0.000, 0.000, 0.000], [0.000, 0.500, 0.000], [0.000, 0.000, 0.500]]
}


No. 25
{
  "formula": "PdSeO2F",
  "functional": "PBE-GGA",
  "state": "relaxed",
  "raw_formation_energy_mev_per_atom": 116,
  "rho_g_cm3": 5.9,
  "cell": [[-3.514, -2.006, -0.054], [1.452, -2.467, -2.861], [1.388, -2.509, 2.868]],
  "species": ["Pd", "O", "O", "F", "Se"],
  "fractional_positions": [[0.000, 0.000, 0.000], [0.000, 0.500, 0.000], [0.500, 0.000, 0.000], [0.000, 0.000, 0.500], [0.500, 0.500, 0.500]]
}


No. 26
{
  "formula": "Er3Hg2BRh3",
  "functional": "PBE-GGA",
  "state": "relaxed",
  "rho_g_cm3": 12.0,
  "ef_mev_per_atom": -604,
  "cell": [[3.441, 0.000, 0.000], [0.000, 7.549, 0.000], [0.000, -3.775, 6.538]],
  "species": ["Er", "Er", "Rh", "Er", "B", "Rh", "Hg", "Hg", "Rh"],
  "fractional_positions": [[0.000, 0.647, 0.647], [0.000, 0.000, 0.353], [0.500, 0.000, 0.787], [0.000, 0.353, 0.000], [0.000, 0.000, 0.000], [0.500, 0.213, 0.213], [0.500, 0.333, 0.667], [0.500, 0.667, 0.333], [0.500, 0.787, 0.000]]
}